# KV2SnO8 | Alexandria | GGA+U | optimized geometry
data_KV2SnO8
_chemical_formula_sum 'K1 V2 Sn1 O8'
_space_group_name_H-M_alt 'P -3'
_space_group_IT_number 147
_cell_length_a 5.6800
_cell_length_b 5.6800
_cell_length_c 7.5880
_cell_angle_alpha 90.00
_cell_angle_beta 90.00
_cell_angle_gamma 120.00
loop_
_space_group_symop_operation_xyz
'x,y,z'
'-x,-y,-z'
'-y,x-y,z'
'y,-x+y,-z'
'-x+y,-x,z'
'x-y,x,-z'
loop_
_atom_site_label
_atom_site_type_symbol
_atom_site_fract_x
_atom_site_fract_y
_atom_site_fract_z
K1 K 0.0000 0.0000 0.0000
V1 V 0.3333 0.6667 0.7344
Sn1 Sn 0.0000 0.0000 0.5000
O1 O 0.1275 0.3283 0.6649
O2 O 0.3333 0.6667 0.9553
# Volume (Å³/atom): 17.67
# Calculated total energy (eV per cell): -79.75
# ρ (g cm⁻³): 3.04



# K2VSnO5 | Alexandria | GGA+U | optimized geometry
data_K2VSnO5
_chemical_formula_sum 'K8 V4 Sn4 O20'
_space_group_name_H-M_alt 'C m c 21'
_space_group_IT_number 36
_cell_length_a 3.307
_cell_length_b 12.859
_cell_length_c 13.097
_cell_angle_alpha 90.00
_cell_angle_beta 90.00
_cell_angle_gamma 90.00
loop_
_space_group_symop_operation_xyz
'x,y,z'
'-x,-y,z+1/2'
'-x,y,z'
'x,-y,z+1/2'
'x+1/2,y+1/2,z'
'-x+1/2,-y+1/2,z+1/2'
'-x+1/2,y+1/2,z'
'x+1/2,-y+1/2,z+1/2'
loop_
_atom_site_label
_atom_site_type_symbol
_atom_site_fract_x
_atom_site_fract_y
_atom_site_fract_z
K1 K 0.000 0.075 0.000
K2 K 0.000 0.169 0.623
V1 V 0.000 0.479 0.772
Sn1 Sn 0.000 0.223 0.355
O1 O 0.000 0.052 0.345
O2 O 0.000 0.277 0.960
O3 O 0.000 0.318 0.757
O4 O 0.000 0.378 0.326
O5 O 0.000 0.495 0.144
# Volume (Å³/atom): 15.47
# Calculated total energy (eV per cell): -217.64
# ρ (g cm⁻³): 3.91



# K3V2SnO8 | Alexandria | GGA+U | optimized geometry
data_K3V2SnO8
_chemical_formula_sum 'K3 V2 Sn1 O8'
_space_group_name_H-M_alt 'P -3 m 1'
_space_group_IT_number 164
_space_group_name_Hall '-P 3 2"'
_cell_length_a 5.9255
_cell_length_b 5.9255
_cell_length_c 7.6401
_cell_angle_alpha 90.00
_cell_angle_beta 90.00
_cell_angle_gamma 120.00
loop_
_atom_site_label
_atom_site_type_symbol
_atom_site_fract_x
_atom_site_fract_y
_atom_site_fract_z
K1 K 0.0000 0.0000 0.0000
K2 K 0.3333 0.6667 0.6882
V1 V 0.3333 0.6667 0.2470
Sn1 Sn 0.0000 0.0000 0.5000
O1 O 0.1702 0.3404 0.3278
O2 O 0.3333 0.6667 0.0273
# Volume (Å³/atom): 16.59
# Calculated total energy (eV per cell): -87.96
# ρ (g cm⁻³): 3.33



# KSn2WO8 | Alexandria | GGA+U | optimized geometry
data_KSn2WO8
_chemical_formula_sum 'K1 Sn2 W1 O8'
_space_group_name_H-M_alt 'P 1 2/m 1'
_space_group_IT_number 10
_cell_length_a 4.877
_cell_length_b 6.876
_cell_length_c 4.881
_cell_angle_alpha 90.00
_cell_angle_beta 92.15
_cell_angle_gamma 90.00
loop_
_space_group_symop_operation_xyz
'x,y,z'
'-x,-y,-z'
'-x,y,-z'
'x,-y,z'
loop_
_atom_site_label
_atom_site_type_symbol
_atom_site_fract_x
_atom_site_fract_y
_atom_site_fract_z
K1 K 0.000 0.000 0.000
Sn1 Sn 0.500 0.263 0.500
W1 W 0.000 0.500 0.000
O1 O 0.200 0.303 0.200
O2 O 0.293 0.500 0.707
O3 O 0.343 0.000 0.655
# Volume (Å³/atom): 13.63
# Calculated total energy (eV per cell): -74.19
# ρ (g cm⁻³): 5.97



> What is the volume in the second record?

15.47 Å³/atom



> What is the volume in the first record?

17.67 Å³/atom



> Which formula does entry 4 have?

KSn2WO8



Copy entry 1 word for word.
# KV2SnO8 | Alexandria | GGA+U | optimized geometry
data_KV2SnO8
_chemical_formula_sum 'K1 V2 Sn1 O8'
_space_group_name_H-M_alt 'P -3'
_space_group_IT_number 147
_cell_length_a 5.6800
_cell_length_b 5.6800
_cell_length_c 7.5880
_cell_angle_alpha 90.00
_cell_angle_beta 90.00
_cell_angle_gamma 120.00
loop_
_space_group_symop_operation_xyz
'x,y,z'
'-x,-y,-z'
'-y,x-y,z'
'y,-x+y,-z'
'-x+y,-x,z'
'x-y,x,-z'
loop_
_atom_site_label
_atom_site_type_symbol
_atom_site_fract_x
_atom_site_fract_y
_atom_site_fract_z
K1 K 0.0000 0.0000 0.0000
V1 V 0.3333 0.6667 0.7344
Sn1 Sn 0.0000 0.0000 0.5000
O1 O 0.1275 0.3283 0.6649
O2 O 0.3333 0.6667 0.9553
# Volume (Å³/atom): 17.67
# Calculated total energy (eV per cell): -79.75
# ρ (g cm⁻³): 3.04